Entry 1:
VASP calculation (SCAN) on Ti2SiH6O9 at its PBEsol-relaxed geometry.

Results
Density: 2.5 g cm⁻³
DFT total energy: -8.7197 eV/atom

Unit cell a=10.976 b=10.976 c=11.922 alpha=90.00 beta=90.00 gamma=90.00
Element x y z (fractional)
Ti: 0.023 0.151 0.150
Ti: 0.023 0.151 0.850
Ti: 0.151 0.977 0.350
Ti: 0.151 0.977 0.650
Ti: 0.349 0.477 0.350
Ti: 0.349 0.477 0.650
Ti: 0.477 0.651 0.150
Ti: 0.477 0.651 0.850
Ti: 0.523 0.349 0.150
Ti: 0.523 0.349 0.850
Ti: 0.651 0.523 0.350
Ti: 0.651 0.523 0.650
Ti: 0.849 0.023 0.350
Ti: 0.849 0.023 0.650
Ti: 0.977 0.849 0.150
Ti: 0.977 0.849 0.850
Si: 0.216 0.716 0.250
Si: 0.216 0.716 0.750
Si: 0.284 0.216 0.250
Si: 0.284 0.216 0.750
Si: 0.716 0.784 0.250
Si: 0.716 0.784 0.750
Si: 0.784 0.284 0.250
Si: 0.784 0.284 0.750
H: 0.020 0.571 0.157
H: 0.020 0.571 0.843
H: 0.026 0.356 0.500
H: 0.029 0.181 0.387
H: 0.029 0.181 0.613
H: 0.071 0.520 0.343
H: 0.071 0.520 0.657
H: 0.144 0.474 0.000
H: 0.146 0.281 0.500
H: 0.181 0.971 0.113
H: 0.181 0.971 0.887
H: 0.219 0.354 0.000
H: 0.281 0.854 0.000
H: 0.319 0.471 0.113
H: 0.319 0.471 0.887
H: 0.354 0.781 0.500
H: 0.356 0.974 0.000
H: 0.429 0.020 0.343
H: 0.429 0.020 0.657
H: 0.471 0.681 0.387
H: 0.471 0.681 0.613
H: 0.474 0.856 0.500
H: 0.480 0.071 0.157
H: 0.480 0.071 0.843
H: 0.520 0.929 0.157
H: 0.520 0.929 0.843
H: 0.526 0.144 0.500
H: 0.529 0.319 0.387
H: 0.529 0.319 0.613
H: 0.571 0.980 0.343
H: 0.571 0.980 0.657
H: 0.644 0.026 0.000
H: 0.646 0.219 0.500
H: 0.681 0.529 0.113
H: 0.681 0.529 0.887
H: 0.719 0.146 0.000
H: 0.781 0.646 0.000
H: 0.819 0.029 0.113
H: 0.819 0.029 0.887
H: 0.854 0.719 0.500
H: 0.856 0.526 0.000
H: 0.929 0.480 0.343
H: 0.929 0.480 0.657
H: 0.971 0.819 0.387
H: 0.971 0.819 0.613
H: 0.974 0.644 0.500
H: 0.980 0.429 0.157
H: 0.980 0.429 0.843
O: 0.000 0.500 0.110
O: 0.000 0.500 0.390
O: 0.000 0.500 0.610
O: 0.000 0.500 0.890
O: 0.008 0.142 0.000
O: 0.019 0.113 0.330
O: 0.019 0.113 0.670
O: 0.057 0.270 0.500
O: 0.085 0.724 0.184
O: 0.085 0.724 0.816
O: 0.113 0.981 0.170
O: 0.113 0.981 0.830
O: 0.142 0.992 0.500
O: 0.172 0.226 0.161
O: 0.172 0.226 0.839
O: 0.224 0.585 0.316
O: 0.224 0.585 0.684
O: 0.226 0.828 0.339
O: 0.226 0.828 0.661
O: 0.230 0.443 0.000
O: 0.270 0.943 0.000
O: 0.274 0.328 0.339
O: 0.274 0.328 0.661
O: 0.276 0.085 0.316
O: 0.276 0.085 0.684
O: 0.328 0.726 0.161
O: 0.328 0.726 0.839
O: 0.358 0.492 0.500
O: 0.387 0.481 0.170
O: 0.387 0.481 0.830
O: 0.415 0.224 0.184
O: 0.415 0.224 0.816
O: 0.443 0.770 0.500
O: 0.481 0.613 0.330
O: 0.481 0.613 0.670
O: 0.492 0.642 0.000
O: 0.500 0.000 0.110
O: 0.500 0.000 0.390
O: 0.500 0.000 0.610
O: 0.500 0.000 0.890
O: 0.508 0.358 0.000
O: 0.519 0.387 0.330
O: 0.519 0.387 0.670
O: 0.557 0.230 0.500
O: 0.585 0.776 0.184
O: 0.585 0.776 0.816
O: 0.613 0.519 0.170
O: 0.613 0.519 0.830
O: 0.642 0.508 0.500
O: 0.672 0.274 0.161
O: 0.672 0.274 0.839
O: 0.724 0.915 0.316
O: 0.724 0.915 0.684
O: 0.726 0.672 0.339
O: 0.726 0.672 0.661
O: 0.730 0.057 0.000
O: 0.770 0.557 0.000
O: 0.774 0.172 0.339
O: 0.774 0.172 0.661
O: 0.776 0.415 0.316
O: 0.776 0.415 0.684
O: 0.828 0.774 0.161
O: 0.828 0.774 0.839
O: 0.858 0.008 0.500
O: 0.887 0.019 0.170
O: 0.887 0.019 0.830
O: 0.915 0.276 0.184
O: 0.915 0.276 0.816
O: 0.943 0.730 0.500
O: 0.981 0.887 0.330
O: 0.981 0.887 0.670
O: 0.992 0.858 0.000


Entry 2:
VASP calculation (SCAN) on Na3GaBi at its PBEsol-relaxed geometry.

Results
Density: 2.9 g cm⁻³
Relative energy among the computed polymorphs: 0 meV per atom
Energy of formation: 0.933 eV/f.u.

Unit cell a=5.850 b=5.850 c=5.850 alpha=90.00 beta=90.00 gamma=90.00
Element x y z (fractional)
Na: 0.000 0.000 0.500
Na: 0.000 0.500 0.000
Na: 0.500 0.000 0.000
Ga: 0.500 0.500 0.500
Bi: 0.000 0.000 0.000


Entry 3:
VASP calculation (SCAN) on AsIF12 at its PBEsol-relaxed geometry.

Results
Density: 3.4 g cm⁻³
Raw formation energy: -1.72 eV per atom

Unit cell a=9.390 b=9.390 c=9.390 alpha=90.00 beta=90.00 gamma=90.00
Element x y z (fractional)
As: 0.000 0.000 0.000
As: 0.000 0.500 0.500
As: 0.500 0.000 0.500
As: 0.500 0.500 0.000
I: 0.000 0.000 0.500
I: 0.000 0.500 0.000
I: 0.500 0.000 0.000
I: 0.500 0.500 0.500
F: 0.060 0.603 0.355
F: 0.060 0.897 0.855
F: 0.063 0.117 0.640
F: 0.063 0.383 0.140
F: 0.103 0.145 0.940
F: 0.103 0.355 0.440
F: 0.117 0.640 0.063
F: 0.117 0.860 0.563
F: 0.140 0.063 0.383
F: 0.140 0.437 0.883
F: 0.145 0.560 0.603
F: 0.145 0.940 0.103
F: 0.355 0.060 0.603
F: 0.355 0.440 0.103
F: 0.360 0.563 0.383
F: 0.360 0.937 0.883
F: 0.383 0.140 0.063
F: 0.383 0.360 0.563
F: 0.397 0.645 0.940
F: 0.397 0.855 0.440
F: 0.437 0.617 0.640
F: 0.437 0.883 0.140
F: 0.440 0.103 0.355
F: 0.440 0.397 0.855
F: 0.560 0.603 0.145
F: 0.560 0.897 0.645
F: 0.563 0.117 0.860
F: 0.563 0.383 0.360
F: 0.603 0.145 0.560
F: 0.603 0.355 0.060
F: 0.617 0.640 0.437
F: 0.617 0.860 0.937
F: 0.640 0.063 0.117
F: 0.640 0.437 0.617
F: 0.645 0.560 0.897
F: 0.645 0.940 0.397
F: 0.855 0.060 0.897
F: 0.855 0.440 0.397
F: 0.860 0.563 0.117
F: 0.860 0.937 0.617
F: 0.883 0.140 0.437
F: 0.883 0.360 0.937
F: 0.897 0.645 0.560
F: 0.897 0.855 0.060
F: 0.937 0.617 0.860
F: 0.937 0.883 0.360
F: 0.940 0.103 0.145
F: 0.940 0.397 0.645